GGA-PBEsol EuCu2, optimized geometry; energy = -6.53 eV/atom; calculated formation energy = -0.12 eV per atom; space-group type = Imma (74)
1.0
-2.159 3.476 3.643
2.159 -3.476 3.643
2.159 3.476 -3.643
Eu Cu
2 4
direct
0.300 0.050 0.250
0.700 0.950 0.750
0.100 0.663 0.437
0.274 0.337 0.937
0.726 0.663 0.063
0.900 0.337 0.563

GGA-PBEsol EuCu, optimized geometry; energy = -7.57 eV/atom; calculated formation energy = -0.12 eV per atom; space-group type = Pnma (62)
1.0
7.619 0.000 0.000
0.000 4.239 0.000
0.000 0.000 5.766
Eu Cu
4 4
direct
0.178 0.250 0.123
0.322 0.750 0.623
0.678 0.250 0.377
0.822 0.750 0.877
0.032 0.250 0.606
0.468 0.750 0.106
0.532 0.250 0.894
0.968 0.750 0.394

GGA-PBEsol EuCuTeF, optimized geometry; energy = -6.95 eV/atom; formation energy from raw total energies = -7.444 eV per formula unit; space-group type = P4/nmm (129)
1.0
4.138 0.000 0.000
0.000 4.138 0.000
0.000 0.000 8.941
Eu Cu Te F
2 2 2 2
direct
0.250 0.250 0.155
0.750 0.750 0.845
0.250 0.750 0.500
0.750 0.250 0.500
0.250 0.250 0.680
0.750 0.750 0.320
0.250 0.750 0.000
0.750 0.250 0.000

GGA-PBEsol EuFe4Cu3O12, optimized geometry; energy = -7.44 eV/atom; formation energy from raw total energies = -26.373 eV per formula unit; space-group type = Im-3 (204)
1.0
-3.578 3.578 3.578
3.578 -3.578 3.578
3.578 3.578 -3.578
Eu Fe Cu O
1 4 3 12
direct
0.000 0.000 0.000
0.000 0.000 0.500
0.000 0.500 0.000
0.500 0.000 0.000
0.500 0.500 0.500
0.000 0.500 0.500
0.500 0.000 0.500
0.500 0.500 0.000
0.125 0.820 0.304
0.180 0.304 0.484
0.180 0.696 0.875
0.304 0.125 0.820
0.304 0.484 0.180
0.484 0.180 0.304
0.516 0.820 0.696
0.696 0.516 0.820
0.696 0.875 0.180
0.820 0.304 0.125
0.820 0.696 0.516
0.875 0.180 0.696

GGA-PBEsol EuGa3Cu, optimized geometry; energy = -5.45 eV/atom; calculated formation energy = -0.46 eV per atom; space-group type = I-4m2 (119)
1.0
-2.068 2.068 5.301
2.068 -2.068 5.301
2.068 2.068 -5.301
Eu Ga Cu
1 3 1
direct
0.000 0.000 0.000
0.250 0.750 0.500
0.383 0.383 0.000
0.617 0.617 0.000
0.750 0.250 0.500

GGA-PBEsol Sr2EuGaCu2O7, optimized geometry; energy = -6.88 eV/atom; formation energy from raw total energies = -26.465 eV per formula unit; space-group type = Ima2 (46)
1.0
-11.488 2.729 2.675
11.488 -2.729 2.675
11.488 2.729 -2.675
Sr Eu Ga Cu O
4 2 2 4 14
direct
0.015 0.151 0.166
0.015 0.349 0.364
0.985 0.651 0.636
0.985 0.849 0.834
0.002 0.002 0.000
0.002 0.502 0.500
0.392 0.711 0.181
0.531 0.211 0.819
0.502 0.577 0.074
0.502 0.927 0.424
0.503 0.077 0.576
0.503 0.427 0.926
0.002 0.320 0.818
0.002 0.685 0.183
0.003 0.186 0.686
0.003 0.816 0.317
0.224 0.859 0.865
0.483 0.203 0.633
0.483 0.350 0.781
0.500 0.316 0.314
0.500 0.686 0.683
0.502 0.185 0.182
0.502 0.820 0.817
0.569 0.703 0.219
0.569 0.850 0.367
0.994 0.359 0.135

> The lowest energy belongs to which entry?

EuCu

> Which of these has the lowest energy?

EuCu

> energy of number 4 (EuFe4Cu3O12)?

-7.44 eV/atom